# Ac6AgRuPt2

A relaxed Ac6AgRuPt2 crystal (GGA-PBE, Alexandria).

Summary:
The formation energy comes out at -0.557 eV per atom. For the final energy, the calculation gives -54.4 eV/cell. The space group is No. 146. The density of states at the Fermi level is 7.47 states/eV per cell. As for the volume: 36.19 A^3/atom.

```
10
Lattice="3.827 2.209 7.135 -3.827 2.209 7.135 0.000 -4.419 7.135" Properties=species:S:1:pos:R:3 pbc="T T T"
Ac -1.279 -2.162 7.135
Ac -2.359 0.109 10.510
Ac -1.233 2.189 7.135
Ac 1.085 -2.097 10.510
Ac 2.512 -0.027 7.135
Ac 1.274 1.988 10.510
Ag 0.000 0.000 19.407
Ru 0.000 0.000 8.678
Pt 0.000 0.000 1.691
Pt 0.000 0.000 12.528
```

---

# Ta5Nb6Sb

A relaxed Ta5Nb6Sb crystal (GGA-PBE, Alexandria).

Summary:
For the final energy, the calculation gives -124.4 eV/cell. The space group is No. 12. The density of states at the Fermi level is 14.99 states/eV per cell. As for the volume: 18.44 A^3/atom. For the uncorrected formation energy, the calculation gives -0.046 eV/atom.

```
12
Lattice="7.417 -3.354 0.000 7.417 3.354 0.000 -1.471 0.000 4.447" Properties=species:S:1:pos:R:3 pbc="T T T"
Ta 0.000 0.000 0.000
Ta 1.518 0.000 2.973
Ta 4.505 0.000 1.496
Ta 8.858 0.000 2.951
Ta 11.845 0.000 1.473
Nb 3.680 1.713 3.689
Nb 6.681 1.773 2.223
Nb 9.682 1.713 0.757
Nb 3.680 -1.713 3.689
Nb 6.681 -1.773 2.223
Nb 9.682 -1.713 0.757
Sb 7.417 0.000 0.000
```

---

# MnTc2Os

A relaxed MnTc2Os crystal (GGA-PBE, Alexandria).

Summary:
The formation energy comes out at 0.174 eV per atom. For the final energy, the calculation gives -40.4 eV/cell. The calculation puts the energy above the most stable polymorph in this dataset at 0.47 eV per formula unit. The space group is No. 71. The density of states at the Fermi level is 4.12 states/eV per cell. As for the volume: 14.06 A^3/atom.

```
4
Lattice="-1.524 2.126 4.340 1.524 -2.126 4.340 1.524 2.126 -4.340" Properties=species:S:1:pos:R:3 pbc="T T T"
Mn 0.000 0.000 0.000
Tc 1.524 0.000 2.048
Tc 0.000 2.126 2.292
Os 0.000 0.000 4.340
```

---

# Y2ScH

A relaxed Y2ScH crystal (GGA-PBE, Alexandria).

Summary:
For the final energy, the calculation gives -23.2 eV/cell. The calculation puts the energy above the most stable polymorph in this dataset at 0.03 eV per formula unit. The space group is No. 160. The density of states at the Fermi level is 5.46 states/eV per cell. As for the volume: 22.22 A^3/atom.

```
4
Lattice="1.760 1.016 8.284 -1.760 1.016 8.284 0.000 -2.032 8.284" Properties=species:S:1:pos:R:3 pbc="T T T"
Y 0.000 0.000 0.000
Y 0.000 0.000 5.409
Sc 0.000 0.000 10.968
H 0.000 0.000 15.122
```

---

- Which value of final energy does entry 3 give?
  -40.4 eV/cell